92
Lattice="9.683 0.000 0.000 0.000 9.683 0.000 0.000 0.000 13.770" Properties=species:S:1:pos:R:3 comment="GGA-PBE Na2P4Pd3O14, relaxed" spacegroup="No. 128" e_form_raw_ev_per_atom=-1.71 crystal_system=tetragonal energy_ev_per_cell=-594.4 pbc="T T T"
Na 1.126 3.715 3.443
Na 1.126 3.715 10.328
Na 3.715 8.557 3.443
Na 3.715 8.557 10.328
Na 5.968 1.126 3.443
Na 5.968 1.126 10.328
Na 8.557 5.968 3.443
Na 8.557 5.968 10.328
P 1.486 7.063 1.436
P 1.486 7.063 12.334
P 2.221 6.328 5.449
P 2.221 6.328 8.321
P 2.620 1.486 1.436
P 2.620 1.486 12.334
P 3.355 2.221 5.449
P 3.355 2.221 8.321
P 6.328 7.462 5.449
P 6.328 7.462 8.321
P 7.063 8.197 1.436
P 7.063 8.197 12.334
P 7.462 3.355 5.449
P 7.462 3.355 8.321
P 8.197 2.620 1.436
P 8.197 2.620 12.334
Pd 0.000 0.000 2.475
Pd 0.000 0.000 11.295
Pd 0.567 3.036 6.885
Pd 1.806 4.275 0.000
Pd 3.036 9.116 6.885
Pd 4.275 7.877 0.000
Pd 4.841 4.841 4.410
Pd 4.841 4.841 9.360
Pd 5.408 1.806 0.000
Pd 6.647 0.567 6.885
Pd 7.877 5.408 0.000
Pd 9.116 6.647 6.885
O 0.614 7.718 2.515
O 0.614 7.718 11.255
O 0.696 6.145 5.340
O 0.696 6.145 8.430
O 0.901 7.536 0.000
O 1.303 5.537 1.545
O 1.303 5.537 12.225
O 1.889 2.681 5.374
O 1.889 2.681 8.396
O 1.965 0.614 2.515
O 1.965 0.614 11.255
O 2.147 0.901 0.000
O 2.160 2.952 1.511
O 2.160 2.952 12.259
O 2.681 7.794 5.374
O 2.681 7.794 8.396
O 2.694 5.743 6.885
O 2.876 5.455 4.370
O 2.876 5.455 9.400
O 2.952 7.523 1.511
O 2.952 7.523 12.259
O 3.538 0.696 5.340
O 3.538 0.696 8.430
O 3.940 2.694 6.885
O 4.146 1.303 1.545
O 4.146 1.303 12.225
O 4.228 2.876 4.370
O 4.228 2.876 9.400
O 5.455 6.807 4.370
O 5.455 6.807 9.400
O 5.537 8.380 1.545
O 5.537 8.380 12.225
O 5.743 6.988 6.885
O 6.145 8.987 5.340
O 6.145 8.987 8.430
O 6.731 2.160 1.511
O 6.731 2.160 12.259
O 6.807 4.228 4.370
O 6.807 4.228 9.400
O 6.988 3.940 6.885
O 7.002 1.889 5.374
O 7.002 1.889 8.396
O 7.523 6.731 1.511
O 7.523 6.731 12.259
O 7.536 8.782 0.000
O 7.718 9.069 2.515
O 7.718 9.069 11.255
O 7.794 7.002 5.374
O 7.794 7.002 8.396
O 8.380 4.146 1.545
O 8.380 4.146 12.225
O 8.782 2.147 0.000
O 8.987 3.538 5.340
O 8.987 3.538 8.430
O 9.069 1.965 2.515
O 9.069 1.965 11.255